(1)
TbHo3Sc2Te6 | PBE-GGA | relaxed

It has space group C2/m (No. 12), with a = 18.689 Å, b = 4.279 Å, c = 8.599 Å, α = 90.00°, β = 103.15° and γ = 90.00°. Symmetry generates all atoms from Tb at (0.000, 0.000, 0.000), Ho at (0.000, 0.000, 0.500), Ho at (0.161, 0.500, 0.830), Sc at (0.165, 0.500, 0.331), Te at (0.005, 0.500, 0.255), Te at (0.170, 0.000, 0.093) and Te at (0.170, 0.000, 0.576).

As for the density of states at the Fermi level: 7.51 states/eV/f.u. For the uncorrected formation energy, the calculation gives -1394 kJ/mol of formula units. The volume is 669.6 Å³ per cell. The total magnetic moment comes out at 0.0 μB/cell. The calculation puts the total energy at -5.3602 eV per atom.

***

(2)
Tb2Ho4ThSc | PBE-GGA | relaxed

It has space group P4/mmm (No. 123), with a = 5.827 Å, b = 5.827 Å, c = 7.251 Å, α = 90.00°, β = 90.00° and γ = 90.00°. Symmetry generates all atoms from Tb at (0.000, 0.000, 0.000), Tb at (0.500, 0.500, 0.000), Ho at (0.000, 0.500, 0.254), Th at (0.000, 0.000, 0.500) and Sc at (0.500, 0.500, 0.500).

As for the density of states at the Fermi level: 16.43 states/eV/f.u. The value obtained for the formation energy from the elements is 0.14 eV per atom. The volume is 246.2 Å³ per cell. The total magnetic moment comes out at 0.0 μB/cell. The calculation puts the total energy at -5.0214 eV per atom.